[1]
Li3Ca2 (GGA-PBE, relaxed); DOS at the Fermi energy = 6.32 states/eV per cell; SG = Fdd2, No. 43; formation energy from the elements = 0.01 eV per atom; DFT total energy = -1.94 eV/atom; M_tot = 0.0 μB per cell; calculated density = 1.15 g/cm³
1.0
0.0000 8.1656 3.2146
5.5640 0.0000 3.2146
5.5640 8.1656 0.0000
Li Ca
6 4
Cartesian
0.0000 0.0000 0.0000
2.7820 4.0828 1.6073
4.7550 6.2325 1.9969
6.3731 10.0986 1.9969
9.1551 10.3153 3.6042
7.5370 14.1814 3.6042
7.4801 7.3320 3.5954
10.2621 13.0819 5.2027
3.6479 8.9991 3.5954
6.4299 11.4147 5.2027

=====

[2]
Li3Ca (GGA-PBE, relaxed); DOS at the Fermi energy = 7.17 states/eV per cell; SG = Fm-3m, No. 225; formation energy from the elements = 0.05 eV per atom; DFT total energy = -1.89 eV/atom; M_tot = 0.0 μB per cell; calculated density = 0.96 g/cm³
1.0
7.4857 0.0000 0.0000
0.0000 7.4857 0.0000
0.0000 0.0000 7.4857
Li Ca
12 4
Cartesian
0.0000 0.0000 0.0000
0.0000 3.7429 3.7429
1.8714 1.8714 1.8714
1.8714 1.8714 5.6143
1.8714 5.6143 1.8714
1.8714 5.6143 5.6143
3.7429 0.0000 3.7429
3.7429 3.7429 0.0000
5.6143 1.8714 1.8714
5.6143 1.8714 5.6143
5.6143 5.6143 1.8714
5.6143 5.6143 5.6143
0.0000 0.0000 3.7429
0.0000 3.7429 0.0000
3.7429 0.0000 0.0000
3.7429 3.7429 3.7429